The following is a PBE-GGA calculation of an optimized crystal structure of La6HoZn2, from the Alexandria database.

## Properties
DFT formation energy	-137	meV/atom
crystal system	monoclinic

CIF file:
```
data_La6HoZn2
_chemical_formula_sum 'La12 Ho2 Zn4'
_space_group_name_H-M_alt 'C 1 2/m 1'
_space_group_IT_number 12
_space_group_name_Hall '-C 2y'
_cell_length_a 13.022
_cell_length_b 3.787
_cell_length_c 12.194
_cell_angle_alpha 90.00
_cell_angle_beta 109.31
_cell_angle_gamma 90.00
loop_
_atom_site_label
_atom_site_type_symbol
_atom_site_fract_x
_atom_site_fract_y
_atom_site_fract_z
_atom_site_occupancy
La1 La 0.029 0.000 0.326 1
La2 La 0.187 0.500 0.876 1
La3 La 0.192 0.500 0.596 1
Ho1 Ho 0.000 0.000 0.000 1
Zn1 Zn 0.140 0.500 0.187 1
```